No. 1
Entry from Alexandria: a geometry-optimized ZrTc3O structure (PBE).

abc: 4.9585 4.9585 4.9585
angles: 90.00 90.00 90.00
Site moments in Bohr magnetons follow the coordinates.
Element x y z (fractional)
O: 0.5000 0.5000 0.5000  0.91
Tc: 0.5000 0.0000 0.0000  2.71
Tc: 0.0000 0.0000 0.5000  2.23
Tc: 0.0000 0.5000 0.0000  2.42
Zr: 0.0000 0.0000 0.0000  -0.36

Summary:
Electronic total energy (eV per atom): -6.35
Uncorrected formation energy (eV per atom): 2.57
DOS at the Fermi energy (states/eV/cell): 6.28
Energy above the lowest structure with this stoichiometry (meV per atom): 2801

---

No. 2
Entry from Alexandria: a geometry-optimized K4ZnSe structure (PBE).

abc: 7.1737 7.1737 7.1737
angles: 60.00 60.00 60.00
Element x y z (fractional)
K: 0.8694 0.3769 0.3769
K: 0.3769 0.8694 0.3769
K: 0.3769 0.3769 0.8694
K: 0.3769 0.3769 0.3769
Zn: 0.0000 0.0000 0.0000
Se: 0.7500 0.7500 0.7500

Summary:
Electronic total energy (eV per atom): -1.44
Uncorrected formation energy (eV per atom): 0.08
DOS at the Fermi energy (states/eV/cell): 1.06

---

No. 3
Entry from Alexandria: a geometry-optimized AcGeTe2 structure (PBE).

abc: 4.1872 4.1872 9.9950
angles: 77.91 77.91 60.00
Element x y z (fractional)
Te: 0.8901 0.8901 0.3297
Te: 0.1099 0.1099 0.6703
Ac: 0.0000 0.0000 0.0000
Ge: 0.5000 0.5000 0.5000

Summary:
Electronic total energy (eV per atom): -3.96
Uncorrected formation energy (eV per atom): -0.21
DOS at the Fermi energy (states/eV/cell): 1.89

---

No. 4
Entry from Alexandria: a geometry-optimized Ce3Sm5S8 structure (PBE).

abc: 8.0267 8.0267 8.0314
angles: 60.02 60.02 60.00
Site moments in Bohr magnetons follow the coordinates.
Element x y z (fractional)
S: 0.2500 0.2500 0.7509  -0.01
S: 0.2507 0.2507 0.2480  -0.01
S: 0.7493 0.7493 0.7520  -0.01
S: 0.2500 0.7491 0.7509  -0.01
S: 0.7500 0.7500 0.2491  -0.01
S: 0.2509 0.7500 0.2491  -0.01
S: 0.7500 0.2509 0.2491  -0.01
S: 0.7491 0.2500 0.7509  -0.01
Sm: 0.0000 0.0000 0.0000  0.01
Sm: 0.5000 0.0000 0.0000  -0.01
Sm: 0.5000 0.5000 0.5000  0.02
Sm: 0.5000 0.5000 0.0000  -0.01
Sm: 0.0000 0.5000 0.0000  -0.01
Ce: 0.0000 0.0000 0.5000  0.57
Ce: 0.5000 0.0000 0.5000  0.57
Ce: 0.0000 0.5000 0.5000  0.57

Summary:
Electronic total energy (eV per atom): -6.69
Uncorrected formation energy (eV per atom): -2.04
DOS at the Fermi energy (states/eV/cell): 18.34

---

No. 5
Entry from Alexandria: a geometry-optimized Y2NiSnC structure (PBE).

abc: 5.0808 3.7868 5.0808
angles: 90.00 90.00 90.00
Element x y z (fractional)
Ni: 0.0000 0.5000 0.0000
Y: 0.0000 0.0000 0.5000
Y: 0.5000 0.0000 0.0000
Sn: 0.5000 0.5000 0.5000
C: 0.0000 0.0000 0.0000

Summary:
Electronic total energy (eV per atom): -6.81
DOS at the Fermi energy (states/eV/cell): 5.23
ΔH_f (0 K) (meV/atom): -427.3

---

No. 6
Entry from Alexandria: a geometry-optimized SbH structure (PBE).

abc: 10.0287 10.0287 3.0798
angles: 90.00 90.00 90.00
Element x y z (fractional)
H: 0.3615 0.3615 0.0000
H: 0.3615 0.6385 0.0000
H: 0.8615 0.8615 0.5000
H: 0.6385 0.3615 0.0000
H: 0.6385 0.6385 0.0000
H: 0.8615 0.1385 0.5000
H: 0.1385 0.8615 0.5000
H: 0.1385 0.1385 0.5000
Sb: 0.2816 0.0000 0.5000
Sb: 0.0000 0.7184 0.5000
Sb: 0.7184 0.0000 0.5000
Sb: 0.5000 0.2184 0.0000
Sb: 0.5000 0.7816 0.0000
Sb: 0.0000 0.2816 0.5000
Sb: 0.7816 0.5000 0.0000
Sb: 0.2184 0.5000 0.0000

Summary:
Electronic total energy (eV per atom): -3.37
DOS at the Fermi energy (states/eV/cell): 5.74
Energy above the lowest structure with this stoichiometry (meV per atom): 336

---

No. 7
Entry from Alexandria: a geometry-optimized Sr2InCu structure (PBE).

abc: 4.3361 4.3361 9.0216
angles: 76.18 76.18 59.88
Element x y z (fractional)
Sr: 0.0109 0.0109 0.9674
Sr: 0.4891 0.4891 0.5326
Cu: 0.7500 0.7500 0.7500
In: 0.2500 0.2500 0.2500

Summary:
Electronic total energy (eV per atom): -2.61
DOS at the Fermi energy (states/eV/cell): 2.44
ΔH_f (0 K) (meV/atom): -57.2